Compound: K2Ta3IrO12
Source: Alexandria
Functional: GGA-PBE
Structure: optimized geometry

abc: 7.392 7.392 7.392
angles: 60.39 60.39 60.39
Last column: magnetic moment on the atom in μB.
Fractional positions:
O1 0.061 0.061 0.696  0.12
O2 0.939 0.304 0.939  0.12
O3 0.696 0.061 0.061  0.12
O4 0.315 0.315 0.936  0.02
O5 0.939 0.939 0.304  0.12
O6 0.936 0.315 0.315  0.02
O7 0.315 0.936 0.315  0.02
O8 0.304 0.939 0.939  0.12
O9 0.685 0.685 0.064  0.02
O10 0.064 0.685 0.685  0.02
O11 0.061 0.696 0.061  0.12
O12 0.685 0.064 0.685  0.02
Ir1 0.000 0.000 0.000  0.95
K1 0.610 0.610 0.610  0.00
K2 0.390 0.390 0.390  0.00
Ta1 0.000 0.000 0.500  0.00
Ta2 0.000 0.500 0.000  0.00
Ta3 0.500 0.000 0.000  0.00

Calculated values
Mass density, g/cm³: 5.79
Volume, Å³ per cell: 288.1
Energy relative to the elements, uncorrected, kJ/mol of atoms: -205.8

Compound: Ca4Mg2Zn
Source: Alexandria
Functional: GGA-PBE
Structure: optimized geometry

abc: 10.379 10.379 10.379
angles: 138.67 138.67 59.89
Fractional positions:
Mg1 0.895 0.605 0.000
Mg2 0.105 0.105 0.711
Mg3 0.395 0.395 0.289
Mg4 0.605 0.895 0.000
Ca1 0.267 0.919 0.000
Ca2 0.233 0.581 0.000
Ca3 0.733 0.733 0.652
Ca4 0.081 0.081 0.348
Ca5 0.919 0.267 0.000
Ca6 0.419 0.419 0.652
Ca7 0.581 0.233 0.000
Ca8 0.767 0.767 0.348
Zn1 0.000 0.500 0.500
Zn2 0.500 0.000 0.500

Calculated values
Mass density, g/cm³: 1.89
Energy relative to the lowest polymorph listed for this composition, meV/atom: 37
Volume, Å³ per cell: 482.7
Energy of formation from the pure elements, kJ/mol of formula units: 22

Compound: Tb2ErS
Source: Alexandria
Functional: GGA-PBE
Structure: optimized geometry

abc: 3.667 3.667 10.211
angles: 79.66 79.66 60.00
Last column: magnetic moment on the atom in μB.
Fractional positions:
S1 0.500 0.500 0.500  0.00
Tb1 0.112 0.112 0.665  0.04
Tb2 0.888 0.888 0.335  0.04
Er1 0.000 0.000 0.000  0.22

Calculated values
Mass density, g/cm³: 7.38
Volume, Å³ per cell: 116.3
Energy relative to the elements, uncorrected, kJ/mol of atoms: -68.8